Record 1
First-principles (PBE-GGA) data for a relaxed AcAgGe3 crystal, as listed in Alexandria.

a = 4.784 Å, b = 4.784 Å, c = 6.025 Å
α = 113.39°, β = 113.39°, γ = 90.00°
Fractional positions:
Ac1 0.019 0.019 0.038
Ag1 0.646 0.646 0.292
Ge1 0.269 0.769 0.538
Ge2 0.769 0.269 0.538
Ge3 0.387 0.387 0.774

## Properties
Electronic total energy = -4.539 eV/atom
Formation energy from the elements = -0.38 eV per atom
Energy relative to the lowest polymorph listed for this composition = 0 meV per atom



Record 2
First-principles (PBE-GGA) data for a relaxed Pm6Dy2Zn crystal, as listed in Alexandria.

a = 3.589 Å, b = 9.436 Å, c = 9.892 Å
α = 118.49°, β = 89.92°, γ = 90.00°
Fractional positions:
Pm1 0.001 0.335 0.325
Pm2 0.999 0.010 0.675
Pm3 0.999 0.665 0.675
Pm4 0.500 0.285 0.000
Pm5 0.001 0.990 0.325
Pm6 0.500 0.715 0.000
Dy1 0.501 0.678 0.356
Dy2 0.499 0.322 0.644
Zn1 0.000 0.000 0.000

## Properties
Electronic total energy = -4.241 eV/atom
Formation energy from the elements = 0.09 eV per atom



Record 3
First-principles (PBE-GGA) data for a relaxed Pr2Nd6Ho3 crystal, as listed in Alexandria.

a = 8.160 Å, b = 6.314 Å, c = 15.018 Å
α = 60.66°, β = 49.28°, γ = 97.31°
Fractional positions:
Pr1 0.457 0.639 0.091
Pr2 0.543 0.361 0.909
Nd1 0.094 0.729 0.817
Nd2 0.638 0.093 0.726
Nd3 0.906 0.271 0.183
Nd4 0.362 0.907 0.274
Nd5 0.722 0.817 0.546
Nd6 0.278 0.183 0.454
Ho1 0.000 0.000 0.000
Ho2 0.816 0.547 0.364
Ho3 0.184 0.453 0.636

## Properties
Electronic total energy = -4.702 eV/atom
Formation energy from the elements = 0.02 eV per atom
Energy relative to the lowest polymorph listed for this composition = 0 meV per atom



Record 4
First-principles (PBE-GGA) data for a relaxed Ac6AsIr2Br2 crystal, as listed in Alexandria.

a = 7.736 Å, b = 7.736 Å, c = 8.082 Å
α = 98.88°, β = 98.88°, γ = 118.53°
Fractional positions:
Ac1 0.707 0.707 0.708
Ac2 0.070 0.415 0.707
Ac3 0.293 0.293 0.292
Ac4 0.415 0.070 0.707
Ac5 0.930 0.585 0.293
Ac6 0.585 0.930 0.293
As1 0.000 0.000 0.500
Ir1 0.330 0.670 0.500
Ir2 0.670 0.330 0.500
Br1 0.841 0.159 0.000
Br2 0.159 0.841 0.000

## Properties
Electronic total energy = -5.630 eV/atom
Raw formation energy = -24.24 kcal/mol of atoms